1.
DFT (PBE) results for a relaxed SrCuI2O8 crystal.

uncorrected energy	-4.657	eV per atom
energy relative to the elements, uncorrected	-611	meV/atom
space group	R-3
N(E_F)	3.66	states/eV per cell

abc: 7.469 7.469 7.469
angles: 41.80 41.80 41.80
Fractional positions:
Sr  0.000  0.000  0.000
Cu  0.500  0.500  0.500
I  0.222  0.222  0.222
I  0.778  0.778  0.778
O  0.151  0.408  0.768
O  0.232  0.849  0.592
O  0.311  0.311  0.311
O  0.408  0.768  0.151
O  0.592  0.232  0.849
O  0.689  0.689  0.689
O  0.768  0.151  0.408
O  0.849  0.592  0.232

2.
DFT (PBE) results for a relaxed Tb5Er3Th crystal.

uncorrected energy	-4.416	eV per atom
calculated formation energy	0.502	eV per atom
space group	C2/m
N(E_F)	25.90	states/eV per cell

abc: 7.434 7.434 12.208
angles: 96.14 96.14 66.11
Fractional positions:
Tb  0.044  0.044  0.629
Tb  0.174  0.565  0.228
Tb  0.178  0.822  0.000
Tb  0.247  0.247  0.974
Tb  0.435  0.826  0.772
Tb  0.565  0.174  0.228
Tb  0.753  0.753  0.026
Tb  0.822  0.178  0.000
Tb  0.826  0.435  0.772
Tb  0.956  0.956  0.371
Er  0.132  0.132  0.211
Er  0.236  0.236  0.466
Er  0.500  0.500  0.000
Er  0.500  0.500  0.500
Er  0.764  0.764  0.534
Er  0.868  0.868  0.789
Th  0.365  0.365  0.732
Th  0.635  0.635  0.268

3.
DFT (PBE) results for a relaxed HfGaRh3 crystal.

uncorrected energy	-6.979	eV per atom
calculated formation energy	0.028	eV per atom
space group	Pm-3m
N(E_F)	0.03	states/eV per cell
excess energy over the best structure of this formula in the dataset	420	meV/atom

abc: 4.473 4.473 4.473
angles: 90.00 90.00 90.00
Fractional positions:
Hf  0.000  0.000  0.000
Ga  0.500  0.500  0.500
Rh  0.000  0.500  0.500
Rh  0.500  0.000  0.500
Rh  0.500  0.500  0.000

4.
DFT (PBE) results for a relaxed LaSiOs2 crystal.

uncorrected energy	-8.132	eV per atom
energy relative to the elements, uncorrected	70	meV/atom
space group	P4/mmm
N(E_F)	4.47	states/eV per cell

abc: 3.039 3.039 7.441
angles: 90.00 90.00 90.00
Fractional positions:
La  0.000  0.000  0.000
Si  0.000  0.000  0.500
Os  0.500  0.500  0.316
Os  0.500  0.500  0.684

5.
DFT (PBE) results for a relaxed PaInN2 crystal.

uncorrected energy	-8.080	eV per atom
energy relative to the elements, uncorrected	-859	meV/atom
space group	R-3m
excess energy over the best structure of this formula in the dataset	29	meV/atom

abc: 6.872 6.872 6.872
angles: 30.35 30.35 30.35
Fractional positions:
Pa  0.000  0.000  0.000
In  0.500  0.500  0.500
N  0.283  0.283  0.283
N  0.717  0.717  0.717

- Which formula does entry 1 have?
  SrCuI2O8

What did the first record say?
DFT (PBE) results for a relaxed SrCuI2O8 crystal.

uncorrected energy	-4.657	eV per atom
energy relative to the elements, uncorrected	-611	meV/atom
space group	R-3
N(E_F)	3.66	states/eV per cell

abc: 7.469 7.469 7.469
angles: 41.80 41.80 41.80
Fractional positions:
Sr  0.000  0.000  0.000
Cu  0.500  0.500  0.500
I  0.222  0.222  0.222
I  0.778  0.778  0.778
O  0.151  0.408  0.768
O  0.232  0.849  0.592
O  0.311  0.311  0.311
O  0.408  0.768  0.151
O  0.592  0.232  0.849
O  0.689  0.689  0.689
O  0.768  0.151  0.408
O  0.849  0.592  0.232